No. 1
Density functional theory data (PBE) for a relaxed structure of HgRhBr2.

Unit cell a=5.334 b=5.336 c=4.037 alpha=70.64 beta=70.62 gamma=95.31
Positions (direct):
Rh  0.000  0.500  0.500
Hg  0.500  0.000  0.500
Br  0.000  0.000  0.000
Br  0.500  0.500  0.000

Summary:
Magnetic moment: 0.224 μB/atom
Raw formation energy: 0.37 eV per atom
Space group: C2/m (12)
ΔE to the lowest computed polymorph: 521 meV/atom
Crystal system: monoclinic
Energy: -2.375 eV per atom

No. 2
Density functional theory data (PBE) for a relaxed structure of Hg2RhBr6.

Unit cell a=4.060 b=7.796 c=9.589 alpha=104.77 beta=90.00 gamma=105.09
Positions (direct):
Hg  0.671  0.342  0.828
Hg  0.329  0.658  0.172
Rh  0.000  0.000  0.500
Br  0.312  0.624  0.872
Br  0.688  0.376  0.128
Br  0.974  0.948  0.234
Br  0.620  0.239  0.524
Br  0.026  0.052  0.766
Br  0.380  0.761  0.476

Summary:
Magnetic moment: 0.113 μB/atom
Raw formation energy: -0.33 eV per atom
Space group: C2/m (12)
Crystal system: monoclinic
Energy: -2.333 eV per atom

No. 3
Density functional theory data (PBE) for a relaxed structure of Hg2RhBr.

Unit cell a=6.388 b=6.388 c=8.095 alpha=66.76 beta=66.76 gamma=90.00
Positions (direct):
Rh  0.000  0.000  0.000
Rh  0.750  0.250  0.500
Hg  0.683  0.125  0.250
Hg  0.067  0.625  0.250
Hg  0.375  0.317  0.750
Hg  0.875  0.933  0.750
Br  0.500  0.500  0.000
Br  0.250  0.750  0.500

Summary:
Magnetic moment: 0.000 μB/atom
Raw formation energy: 0.42 eV per atom
Space group: I-42d (122)
ΔE to the lowest computed polymorph: 356 meV/atom
Crystal system: tetragonal
Energy: -1.988 eV per atom